No. 1
## NiAgIr2 (PBE)

Data for NiAgIr2 after structural relaxation.

Calculated values
The energy relative to the lowest polymorph listed for this composition is 323 meV per atom. The value obtained for the formation energy is 492 meV per atom.

a b c (Å): 6.1633 6.1633 6.1633
angles (deg): 90.00 90.00 90.00
Positions (direct):
Ni1 0.0000 0.0000 0.0000
Ni2 0.0000 0.5000 0.5000
Ni3 0.5000 0.0000 0.5000
Ni4 0.5000 0.5000 0.0000
Ag1 0.2500 0.2500 0.2500
Ag2 0.2500 0.7500 0.7500
Ag3 0.7500 0.2500 0.7500
Ag4 0.7500 0.7500 0.2500
Ir1 0.0000 0.0000 0.5000
Ir2 0.0000 0.5000 0.0000
Ir3 0.2500 0.2500 0.7500
Ir4 0.2500 0.7500 0.2500
Ir5 0.5000 0.0000 0.0000
Ir6 0.5000 0.5000 0.5000
Ir7 0.7500 0.2500 0.2500
Ir8 0.7500 0.7500 0.7500

---

No. 2
## NiAgIr (PBE)

Data for NiAgIr after structural relaxation.

Calculated values
The energy relative to the lowest polymorph listed for this composition is 166 meV per atom. The value obtained for the formation energy is 256 meV per atom.

a b c (Å): 2.7187 2.7187 11.7779
angles (deg): 90.00 90.00 90.00
Positions (direct):
Ni1 0.0000 0.0000 0.0000
Ni2 0.5000 0.5000 0.5000
Ag1 0.0000 0.0000 0.3295
Ag2 0.5000 0.5000 0.8295
Ir1 0.0000 0.0000 0.6408
Ir2 0.5000 0.5000 0.1408

---

No. 3
## NiAgIr (PBE)

Data for NiAgIr after structural relaxation.

Calculated values
The energy relative to the lowest polymorph listed for this composition is 246 meV per atom. The value obtained for the formation energy is 337 meV per atom.

a b c (Å): 2.7718 4.6267 13.8112
angles (deg): 90.00 90.00 90.00
Positions (direct):
Ni1 0.0000 0.0000 0.0000
Ni2 0.0000 0.5000 0.5000
Ni3 0.5000 0.0000 0.5000
Ni4 0.5000 0.5000 0.0000
Ag1 0.0000 0.0000 0.3341
Ag2 0.0000 0.5000 0.8341
Ag3 0.5000 0.0000 0.8341
Ag4 0.5000 0.5000 0.3341
Ir1 0.0000 0.0000 0.6505
Ir2 0.0000 0.5000 0.1505
Ir3 0.5000 0.0000 0.1505
Ir4 0.5000 0.5000 0.6505

---

No. 4
## NiAgIr2 (PBE)

Data for NiAgIr2 after structural relaxation.

Calculated values
The energy relative to the lowest polymorph listed for this composition is 269 meV per atom. The value obtained for the formation energy is 438 meV per atom.

a b c (Å): 5.3318 8.0447 2.7056
angles (deg): 90.00 90.00 90.00
Positions (direct):
Ni1 0.0000 0.0000 0.0000
Ni2 0.5000 0.5000 0.0000
Ag1 0.0000 0.5000 0.0000
Ag2 0.5000 0.0000 0.0000
Ir1 0.2500 0.2500 0.5000
Ir2 0.2500 0.7500 0.5000
Ir3 0.7500 0.2500 0.5000
Ir4 0.7500 0.7500 0.5000

---

No. 5
## Ni2AgPIr (PBE)

Data for Ni2AgPIr after structural relaxation.

Calculated values
The energy relative to the lowest polymorph listed for this composition is 0 meV per atom. The value obtained for the formation energy is 1475 meV per atom.

a b c (Å): 4.4887 4.4887 5.0622
angles (deg): 90.00 90.00 90.00
Positions (direct):
Ni1 0.0000 0.5000 0.0000
Ni2 0.5000 0.0000 0.0000
Ag1 0.0000 0.0000 0.5000
P1 0.5000 0.5000 0.5000
Ir1 0.0000 0.0000 0.0000

---

No. 6
## Ni2AgPIr (PBE)

Data for Ni2AgPIr after structural relaxation.

Calculated values
The energy relative to the lowest polymorph listed for this composition is 431 meV per atom. The value obtained for the formation energy is 1906 meV per atom.

a b c (Å): 4.5088 4.5088 4.9039
angles (deg): 90.00 90.00 90.00
Positions (direct):
Ni1 0.0000 0.5000 0.0000
Ni2 0.5000 0.0000 0.0000
Ag1 0.0000 0.0000 0.0000
P1 0.5000 0.5000 0.5000
Ir1 0.0000 0.0000 0.5000

---

No. 7
## NiAg2PIr (PBE)

Data for NiAg2PIr after structural relaxation.

Calculated values
The value obtained for the formation energy is 930 meV per atom.

a b c (Å): 4.7472 4.7472 3.9966
angles (deg): 90.00 90.00 90.00
Positions (direct):
Ni1 0.0000 0.0000 0.0000
Ag1 0.0000 0.5000 0.0000
Ag2 0.5000 0.0000 0.0000
P1 0.0000 0.0000 0.5000
Ir1 0.5000 0.5000 0.5000

---

No. 8
## NiAg2IrSe (PBE)

Data for NiAg2IrSe after structural relaxation.

Calculated values
The value obtained for the uncorrected formation energy is 1.006 eV per atom.

a b c (Å): 4.7887 4.7887 4.2185
angles (deg): 90.00 90.00 90.00
Positions (direct):
Ni1 0.0000 0.0000 0.0000
Ag1 0.0000 0.5000 0.0000
Ag2 0.5000 0.0000 0.0000
Ir1 0.5000 0.5000 0.5000
Se1 0.0000 0.0000 0.5000

---

The calculation returns the following magnetic moment values, one per record and in order: 0.00; 0.75; 1.01; 0.00; 1.88; 2.02; 0.00; 1.14 μB per formula unit.
The calculation returns the following calculated volume values, one per record and in order: 234.12; 87.06; 177.12; 116.05; 101.99; 99.70; 90.07; 96.74 Å³ per cell.